Entry from the Alexandria database: a relaxed BaInBr2 crystal (PBE).

```
BaInBr2
1.0
8.188 0.000 0.000
0.000 8.188 0.000
0.000 0.000 8.188
Ba In Br
4 4 8
direct
0.000 0.000 0.000 Ba
0.000 0.500 0.500 Ba
0.500 0.000 0.500 Ba
0.500 0.500 0.000 Ba
0.250 0.250 0.250 In
0.250 0.750 0.750 In
0.750 0.250 0.750 In
0.750 0.750 0.250 In
0.000 0.000 0.500 Br
0.000 0.500 0.000 Br
0.250 0.250 0.750 Br
0.250 0.750 0.250 Br
0.500 0.000 0.000 Br
0.500 0.500 0.500 Br
0.750 0.250 0.250 Br
0.750 0.750 0.750 Br
```

raw formation energy	-0.88	eV per atom
VASP energy	-2.885	eV/atom
energy above the lowest structure with this stoichiometry	0.367	eV/atom
magnetic moment	0.11	μB/atom
N(E_F)	0.87	states/eV/atom

Entry from the Alexandria database: a relaxed KZnAgBr4 crystal (PBE).

```
KZnAgBr4
1.0
6.751 0.000 0.000
0.000 7.710 0.000
-2.071 0.000 8.718
K Zn Ag Br
2 2 2 8
direct
0.226 0.250 0.055 K
0.774 0.750 0.945 K
0.232 0.750 0.312 Zn
0.768 0.250 0.688 Zn
0.161 0.250 0.520 Ag
0.839 0.750 0.480 Ag
0.019 0.008 0.717 Br
0.019 0.492 0.717 Br
0.354 0.750 0.080 Br
0.476 0.750 0.555 Br
0.524 0.250 0.445 Br
0.646 0.250 0.920 Br
0.981 0.508 0.283 Br
0.981 0.992 0.283 Br
```

raw formation energy	-0.96	eV per atom
VASP energy	-2.660	eV/atom
magnetic moment	0.00	μB/atom
N(E_F)	0.00	states/eV/atom

Entry from the Alexandria database: a relaxed Tl3Hg7Pb2 crystal (PBE).

```
Tl3Hg7Pb2
1.0
5.920 0.000 0.000
0.000 3.388 0.000
-0.784 0.000 17.621
Tl Hg Pb
3 7 2
direct
0.000 0.000 0.000 Tl
0.312 0.500 0.342 Tl
0.688 0.500 0.658 Tl
0.111 0.500 0.845 Hg
0.250 0.000 0.508 Hg
0.382 0.000 0.166 Hg
0.500 0.500 0.000 Hg
0.618 0.000 0.834 Hg
0.750 0.000 0.492 Hg
0.889 0.500 0.155 Hg
0.189 0.000 0.684 Pb
0.811 0.000 0.316 Pb
```

ΔE_f	0.017	eV per atom
VASP energy	-1.369	eV/atom
magnetic moment	0.00	μB/atom
N(E_F)	0.29	states/eV/atom